This record from Alexandria via LeMat-Bulk describes a relaxed BaAsPtO6 crystal. The functional is PBE-GGA.

Formation energy (no corrections) = -1383 meV per atom
Raw total energy = -54.8 eV per cell
Density of states at the Fermi level = 6.2 states/eV/f.u.

```
data_BaAsPtO6
_chemical_formula_sum 'Ba1 As1 Pt1 O6'
_symmetry_space_group_name_H-M 'P 1'
_symmetry_Int_Tables_number 1
_cell_length_a 5.173
_cell_length_b 5.173
_cell_length_c 5.870
_cell_angle_alpha 90.00
_cell_angle_beta 90.00
_cell_angle_gamma 120.00
loop_
_symmetry_equiv_pos_as_xyz
'x,y,z'
loop_
_atom_site_label
_atom_site_type_symbol
_atom_site_fract_x
_atom_site_fract_y
_atom_site_fract_z
Ba1 Ba 0.000 0.000 0.000
As1 As 0.667 0.333 0.500
Pt1 Pt 0.333 0.667 0.500
O1 O 0.389 0.019 0.683
O2 O 0.389 0.370 0.317
O3 O 0.630 0.019 0.317
O4 O 0.630 0.611 0.683
O5 O 0.981 0.370 0.683
O6 O 0.981 0.611 0.317
```